Record 1
V2InSeBr | PBE | optimized geometry

Lattice parameters (Å, degrees): 5.450 5.450 5.063 90.00 90.00 90.00
Fractional positions:
V  0.000  0.500  0.000
V  0.500  0.000  0.000
In  0.000  0.000  0.000
Se  0.000  0.000  0.500
Br  0.500  0.500  0.500

Computed properties:
- Formation energy from raw total energies: 1.1141 eV/atom
- Total energy: -4.11 eV per atom

Record 2
Y2CrFe | PBE | optimized geometry

Lattice parameters (Å, degrees): 4.910 4.910 4.910 119.89 119.89 90.19
Fractional positions:
Y  0.250  0.750  0.500
Y  0.750  0.250  0.500
Cr  0.000  0.000  0.000
Fe  0.500  0.500  0.000

Computed properties:
- Calculated formation energy: 0.31 eV per atom
- Total energy: -7.45 eV per atom

Record 3
Nb2ZnFe2 | PBE | optimized geometry

Lattice parameters (Å, degrees): 7.000 7.000 2.998 90.00 90.00 90.00
Fractional positions:
Nb  0.166  0.334  0.000
Nb  0.334  0.834  0.000
Nb  0.666  0.166  0.000
Nb  0.834  0.666  0.000
Zn  0.000  0.000  0.500
Zn  0.500  0.500  0.500
Fe  0.135  0.635  0.500
Fe  0.365  0.135  0.500
Fe  0.635  0.865  0.500
Fe  0.865  0.365  0.500

Computed properties:
- Calculated formation energy: 0.03 eV per atom
- Total energy: -7.64 eV per atom

Record 4
NiPb5 | PBE | optimized geometry

Lattice parameters (Å, degrees): 6.388 6.388 8.518 109.31 109.31 30.98
Fractional positions:
Ni  0.000  0.000  0.000
Pb  0.001  0.001  0.501
Pb  0.341  0.341  0.718
Pb  0.372  0.372  0.132
Pb  0.630  0.630  0.870
Pb  0.661  0.661  0.284

Computed properties:
- Calculated formation energy: 0.10 eV per atom
- Total energy: -3.95 eV per atom

Record 5
BaAsSe2 | PBE | optimized geometry

Lattice parameters (Å, degrees): 4.205 3.943 7.303 90.00 90.22 90.00
Fractional positions:
Ba  0.000  0.000  0.000
As  0.500  0.000  0.500
Se  0.498  0.500  0.752
Se  0.502  0.500  0.248

Computed properties:
- Formation energy from raw total energies: -0.8477 eV/atom
- Total energy: -4.23 eV per atom

Record 6
KNiSb2 | PBE | optimized geometry

Lattice parameters (Å, degrees): 3.462 3.462 8.613 90.00 90.00 103.71
Fractional positions:
K  0.000  0.000  0.000
Ni  0.000  0.000  0.500
Sb  0.500  0.500  0.325
Sb  0.500  0.500  0.675

Computed properties:
- Formation energy from raw total energies: -0.0784 eV/atom
- Total energy: -3.86 eV per atom

Among the records above, which one has the highest total energy?
KNiSb2

Among the records above, which one has the highest total energy?
KNiSb2